1.
A geometry-optimized RbCaH2 structure. Source: the Alexandria database, functional PBE.

## Properties
Excess energy over the best structure of this formula in the dataset   62.7 meV/atom
Calculated total energy   -2.560 eV per atom
Magnetic moment   0.862 μB/cell

Cell: 3.409 4.127 6.480 Å, 89.80 89.43 85.18°
Space group P-1 (No. 2)
One atom of each set of equivalent atoms:
Rb (0.000, 0.000, 0.000) (multiplicity 1)
Ca (0.000, 0.500, 0.500) (multiplicity 1)
H (0.496, 0.498, 0.747) (multiplicity 2)

2.
A geometry-optimized RbCaH2 structure. Source: the Alexandria database, functional PBE.

## Properties
Excess energy over the best structure of this formula in the dataset   421.3 meV/atom
Calculated total energy   -2.201 eV per atom
Magnetic moment   0.000 μB/cell

Cell: 6.901 6.901 6.901 Å, 90.00 90.00 90.00°
Space group Fm-3m (No. 225)
One atom of each set of equivalent atoms:
Rb (0.000, 0.000, 0.000) (multiplicity 4)
Ca (0.000, 0.000, 0.500) (multiplicity 4)
H (0.250, 0.250, 0.250) (multiplicity 8)

3.
A geometry-optimized Rb2CaH4 structure. Source: the Alexandria database, functional PBE.

## Properties
Excess energy over the best structure of this formula in the dataset   35.7 meV/atom
Calculated total energy   -2.781 eV per atom
Magnetic moment   0.000 μB/cell

Cell: 6.891 11.557 3.779 Å, 90.00 90.00 90.00°
Space group Pbam (No. 55)
One atom of each set of equivalent atoms:
Rb (0.060, 0.180, 0.000) (multiplicity 4)
Ca (0.000, 0.500, 0.500) (multiplicity 2)
H (0.133, 0.678, 0.500) (multiplicity 4)
H (0.197, 0.453, 0.000) (multiplicity 4)

4.
A geometry-optimized RbCaH2 structure. Source: the Alexandria database, functional PBE.

## Properties
Excess energy over the best structure of this formula in the dataset   52.8 meV/atom
Calculated total energy   -2.570 eV per atom
Magnetic moment   0.871 μB/cell

Cell: 3.469 6.536 4.445 Å, 90.00 112.74 90.00°
Space group Pm (No. 6)
One atom of each set of equivalent atoms:
Rb (0.000, 0.000, 0.000) (multiplicity 1)
Ca (0.227, 0.500, 0.459) (multiplicity 1)
H (0.710, 0.261, 0.426) (multiplicity 2)

5.
A geometry-optimized Rb3Ca2H7 structure. Source: the Alexandria database, functional PBE.

## Properties
Excess energy over the best structure of this formula in the dataset   25.4 meV/atom
Calculated total energy   -2.870 eV per atom
Magnetic moment   0.000 μB/cell

Cell: 4.542 23.968 4.384 Å, 90.00 90.00 90.00°
Space group Cmmm (No. 65)
One atom of each set of equivalent atoms:
Rb (0.000, 0.000, 0.000) (multiplicity 2)
Rb (0.000, 0.186, 0.000) (multiplicity 4)
Ca (0.000, 0.405, 0.500) (multiplicity 4)
H (0.000, 0.095, 0.500) (multiplicity 4)
H (0.000, 0.309, 0.500) (multiplicity 4)
H (0.000, 0.405, 0.000) (multiplicity 4)
H (0.000, 0.500, 0.500) (multiplicity 2)

6.
A geometry-optimized RbCa2ReH structure. Source: the Alexandria database, functional PBE.

## Properties
Calculated total energy   -2.437 eV per atom
Magnetic moment   0.001 μB/cell

Cell: 5.820 5.820 3.822 Å, 90.00 90.00 90.00°
Space group P4/mmm (No. 123)
One atom of each set of equivalent atoms:
Rb (0.000, 0.000, 0.000) (multiplicity 1)
Ca (0.000, 0.500, 0.000) (multiplicity 2)
Re (0.500, 0.500, 0.500) (multiplicity 1)
H (0.000, 0.000, 0.500) (multiplicity 1)

| no. | volume (A^3/atom) |
| --- | --- |
| 1 | 22.71 |
| 2 | 20.54 |
| 3 | 21.50 |
| 4 | 23.24 |
| 5 | 19.88 |
| 6 | 25.89 |